[1]
Entry from Alexandria: crystalline In2PRu at its relaxed geometry (PBE).

Unit cell a=4.567 b=3.396 c=5.118 alpha=90.00 beta=110.15 gamma=90.00
Space group P2/m (No. 10)
Symmetry-distinct sites (fractional):
In1 0.000 0.000 0.000 (multiplicity 1)
In2 0.000 0.500 0.500 (multiplicity 1)
P1 0.500 0.000 0.500 (multiplicity 1)
Ru1 0.500 0.500 0.000 (multiplicity 1)

Computed properties:
As for the size of the total moment: 0.00 μB/cell. The value obtained for the formation energy is 336 meV per atom. For the total energy, the calculation gives -18.82 eV/f.u.



[2]
Entry from Alexandria: crystalline InPRu at its relaxed geometry (PBE).

Unit cell a=3.9569 b=3.9569 c=3.9390 alpha=90.00 beta=90.00 gamma=120.00
Space group P-6m2 (No. 187)
Symmetry-distinct sites (fractional):
In1 0.0000 0.0000 0.0000 (multiplicity 1)
P1 0.6667 0.3333 0.5000 (multiplicity 1)
Ru1 0.3333 0.6667 0.5000 (multiplicity 1)

Computed properties:
As for the size of the total moment: 0.00 μB/cell. The value obtained for the formation energy is -7 meV per atom. For the total energy, the calculation gives -17.44 eV/f.u.



[3]
Entry from Alexandria: crystalline InPRu at its relaxed geometry (PBE).

Unit cell a=6.061 b=6.061 c=6.061 alpha=90.00 beta=90.00 gamma=90.00
Space group F-43m (No. 216)
Symmetry-distinct sites (fractional):
In1 0.000 0.000 0.000 (multiplicity 4)
P1 0.000 0.000 0.500 (multiplicity 4)
Ru1 0.250 0.250 0.750 (multiplicity 4)

Computed properties:
As for the size of the total moment: 0.00 μB/cell. The value obtained for the formation energy is 200 meV per atom. For the total energy, the calculation gives -16.83 eV/f.u.